A) {
  "formula": "HfAlW",
  "functional": "GGA-PBE",
  "state": "optimized geometry",
  "volume_a3_per_atom": 19.30,
  "sg": "No. 107",
  "magnetic_moment_mub_per_atom": 0.00,
  "lattice_angstrom": [[-1.2119, 2.4479, -0.4064], [-1.0062, -0.0713, 2.5708], [7.3441, 2.3197, 1.4555]],
  "species": ["Hf", "Al", "W"],
  "fractional_positions": [[0.1285, 0.1285, 0.2570], [0.7753, 0.7753, 0.5506], [0.9462, 0.9462, 0.8924]]
}

B) {
  "formula": "HfAlW",
  "functional": "GGA-PBE",
  "state": "optimized geometry",
  "volume_a3_per_atom": 17.77,
  "sg": "No. 74",
  "magnetic_moment_mub_per_atom": 0.00,
  "lattice_angstrom": [[-2.9232, 3.4427, 2.8226], [-5.0450, 0.9851, -1.4019], [-4.0248, -1.7668, 3.0112]],
  "species": ["Hf", "Hf", "Al", "Al", "W", "W"],
  "fractional_positions": [[0.8811, 0.3689, 0.3689], [0.1189, 0.6311, 0.6311], [0.5000, 0.5000, 0.0000], [0.5000, 0.0000, 0.5000], [0.0000, 0.0000, 0.0000], [0.5000, 0.0000, 0.0000]]
}

C) {
  "formula": "HfAlW",
  "functional": "GGA-PBE",
  "state": "optimized geometry",
  "volume_a3_per_atom": 17.62,
  "sg": "No. 63",
  "magnetic_moment_mub_per_atom": 0.00,
  "lattice_angstrom": [[3.5596, 0.0000, 0.0000], [0.0000, 4.4494, 0.0000], [-1.7798, 0.0000, 6.6741]],
  "species": ["W", "W", "Hf", "Hf", "Al", "Al"],
  "fractional_positions": [[0.5933, 0.2500, 0.1867], [0.4067, 0.7500, 0.8133], [0.9156, 0.2500, 0.8312], [0.0844, 0.7500, 0.1688], [0.2461, 0.2500, 0.4922], [0.7539, 0.7500, 0.5078]]
}

Short version: A) is the least stable of them.

A) {
  "formula": "YHf2Al6",
  "functional": "GGA-PBE",
  "state": "optimized geometry",
  "volume_a3_per_atom": 20.77,
  "sg": "No. 71",
  "magnetic_moment_mub_per_atom": 0.00,
  "lattice_angstrom": [[-1.0010, -3.3191, -2.4373], [6.1999, -4.4984, -0.1046], [1.3521, -6.2312, 4.2462]],
  "species": ["Y", "Hf", "Hf", "Al", "Al", "Al", "Al", "Al", "Al"],
  "fractional_positions": [[0.0000, 0.0000, 0.0000], [0.8837, 0.6163, 0.6163], [0.1163, 0.3837, 0.3837], [0.6911, 0.0167, 0.6011], [0.3089, 0.9833, 0.3989], [0.3089, 0.3989, 0.9833], [0.5000, 0.6872, 0.3128], [0.5000, 0.3128, 0.6872], [0.6911, 0.6011, 0.0167]]
}

B) {
  "formula": "YHf2Al6",
  "functional": "GGA-PBE",
  "state": "optimized geometry",
  "volume_a3_per_atom": 18.66,
  "sg": "No. 191",
  "magnetic_moment_mub_per_atom": 0.00,
  "lattice_angstrom": [[3.1948, 0.0000, 0.0000], [0.0000, 6.7479, -3.8959], [0.0000, 0.0000, 7.7918]],
  "species": ["Y", "Hf", "Hf", "Al", "Al", "Al", "Al", "Al", "Al"],
  "fractional_positions": [[0.0000, 0.0000, 0.0000], [0.0000, 0.3333, 0.6667], [0.0000, 0.6667, 0.3333], [0.5000, 0.3373, 0.3373], [0.5000, 0.6627, 0.6627], [0.5000, 0.0000, 0.6627], [0.5000, 0.6627, 0.0000], [0.5000, 0.3373, 0.0000], [0.5000, 0.0000, 0.3373]]
}

Short version: A) is the least stable of them.

A) {
  "formula": "YHf3Al",
  "functional": "GGA-PBE",
  "state": "optimized geometry",
  "volume_a3_per_atom": 27.03,
  "sg": "No. 221",
  "magnetic_moment_mub_per_atom": 0.00,
  "lattice_angstrom": [[5.1317, 0.0000, 0.0000], [0.0000, 5.1317, 0.0000], [0.0000, 0.0000, 5.1317]],
  "species": ["Y", "Hf", "Hf", "Hf", "Al"],
  "fractional_positions": [[0.0000, 0.0000, 0.0000], [0.0000, 0.5000, 0.0000], [0.0000, 0.0000, 0.5000], [0.5000, 0.0000, 0.0000], [0.5000, 0.5000, 0.5000]]
}

B) {
  "formula": "YHf3Al",
  "functional": "GGA-PBE",
  "state": "optimized geometry",
  "volume_a3_per_atom": 26.41,
  "sg": "No. 221",
  "magnetic_moment_mub_per_atom": 0.00,
  "lattice_angstrom": [[5.0923, 0.0000, 0.0000], [0.0000, 5.0923, 0.0000], [0.0000, 0.0000, 5.0923]],
  "species": ["Y", "Hf", "Hf", "Hf", "Al"],
  "fractional_positions": [[0.5000, 0.5000, 0.5000], [0.0000, 0.5000, 0.0000], [0.0000, 0.0000, 0.5000], [0.5000, 0.0000, 0.0000], [0.0000, 0.0000, 0.0000]]
}

Short version: A) is the least stable of them.

A) {
  "formula": "YHfAl3",
  "functional": "GGA-PBE",
  "state": "optimized geometry",
  "volume_a3_per_atom": 26.26,
  "sg": "No. 221",
  "magnetic_moment_mub_per_atom": 0.00,
  "lattice_angstrom": [[-4.3924, -1.7294, -1.8846], [0.0135, -3.7607, 3.4195], [-2.5578, 2.9500, 3.2544]],
  "species": ["Y", "Hf", "Al", "Al", "Al"],
  "fractional_positions": [[0.5000, 0.5000, 0.5000], [0.0000, 0.0000, 0.0000], [0.0000, 0.5000, 0.0000], [0.0000, 0.0000, 0.5000], [0.5000, 0.0000, 0.0000]]
}

B) {
  "formula": "YHfAl3",
  "functional": "GGA-PBE",
  "state": "optimized geometry",
  "volume_a3_per_atom": 26.65,
  "sg": "No. 221",
  "magnetic_moment_mub_per_atom": 0.06,
  "lattice_angstrom": [[5.1079, 0.0000, 0.0000], [0.0000, 5.1079, 0.0000], [0.0000, 0.0000, 5.1079]],
  "species": ["Y", "Hf", "Al", "Al", "Al"],
  "fractional_positions": [[0.0000, 0.0000, 0.0000], [0.5000, 0.5000, 0.5000], [0.0000, 0.5000, 0.0000], [0.0000, 0.0000, 0.5000], [0.5000, 0.0000, 0.0000]]
}

Short version: B) is the least stable of them.

A) {
  "formula": "Y3HfAl",
  "functional": "GGA-PBE",
  "state": "optimized geometry",
  "volume_a3_per_atom": 32.43,
  "sg": "No. 221",
  "magnetic_moment_mub_per_atom": 0.67,
  "lattice_angstrom": [[-0.3643, 2.1983, 4.9767], [4.7215, -2.3506, 1.3840], [2.7034, 4.4017, -1.7464]],
  "species": ["Y", "Y", "Y", "Hf", "Al"],
  "fractional_positions": [[0.0000, 0.5000, 0.0000], [0.0000, 0.0000, 0.5000], [0.5000, 0.0000, 0.0000], [0.5000, 0.5000, 0.5000], [0.0000, 0.0000, 0.0000]]
}

B) {
  "formula": "Y3HfAl",
  "functional": "GGA-PBE",
  "state": "optimized geometry",
  "volume_a3_per_atom": 33.13,
  "sg": "No. 221",
  "magnetic_moment_mub_per_atom": 0.00,
  "lattice_angstrom": [[-0.3058, -4.6205, 2.9530], [4.4367, 1.5297, 2.8528], [-3.2226, 2.5444, 3.6475]],
  "species": ["Y", "Y", "Y", "Hf", "Al"],
  "fractional_positions": [[0.0000, 0.5000, 0.0000], [0.0000, 0.0000, 0.5000], [0.5000, 0.0000, 0.0000], [0.0000, 0.0000, 0.0000], [0.5000, 0.5000, 0.5000]]
}

Short version: B) is the least stable of them.

A) {
  "formula": "YHf3Al8",
  "functional": "GGA-PBE",
  "state": "optimized geometry",
  "volume_a3_per_atom": 18.04,
  "sg": "No. 156",
  "magnetic_moment_mub_per_atom": 0.00,
  "lattice_angstrom": [[5.3175, 0.0000, 0.0000], [-2.6588, 4.6051, 0.0000], [0.0000, 0.0000, 8.8424]],
  "species": ["Y", "Hf", "Hf", "Hf", "Al", "Al", "Al", "Al", "Al", "Al", "Al", "Al"],
  "fractional_positions": [[0.0000, 0.0000, 0.5649], [0.6667, 0.3333, 0.4256], [0.6667, 0.3333, 0.0658], [0.0000, 0.0000, 0.9375], [0.3333, 0.6667, 0.4985], [0.3333, 0.6667, 0.0017], [0.5041, 0.0081, 0.7566], [0.5041, 0.4959, 0.7566], [0.9919, 0.4959, 0.7566], [0.1628, 0.3255, 0.2454], [0.1628, 0.8372, 0.2454], [0.6745, 0.8372, 0.2454]]
}

B) {
  "formula": "YHf3Al8",
  "functional": "GGA-PBE",
  "state": "optimized geometry",
  "volume_a3_per_atom": 18.05,
  "sg": "No. 160",
  "magnetic_moment_mub_per_atom": 0.00,
  "lattice_angstrom": [[-3.7061, 3.4750, 1.6643], [-0.9342, 0.6120, 5.2281], [4.5162, 7.6630, 2.6433]],
  "species": ["Y", "Hf", "Hf", "Hf", "Al", "Al", "Al", "Al", "Al", "Al", "Al", "Al"],
  "fractional_positions": [[0.8749, 0.8749, 0.3752], [0.3757, 0.3757, 0.8730], [0.0015, 0.0015, 0.9956], [0.4972, 0.4972, 0.5085], [0.9401, 0.4390, 0.1820], [0.4343, 0.9369, 0.6920], [0.4390, 0.4390, 0.1820], [0.9369, 0.9369, 0.6920], [0.1870, 0.1870, 0.4390], [0.6878, 0.6878, 0.9367], [0.4390, 0.9401, 0.1820], [0.9369, 0.4343, 0.6920]]
}

Short version: A) is the least stable of them.

A) {
  "formula": "Hf6AlZn",
  "functional": "GGA-PBE",
  "state": "optimized geometry",
  "volume_a3_per_atom": 20.20,
  "sg": "No. 123",
  "magnetic_moment_mub_per_atom": 0.00,
  "lattice_angstrom": [[-0.8633, 3.6609, 2.1516], [-3.6048, -3.1016, 3.8310], [4.7761, -1.0271, 3.6640]],
  "species": ["Hf", "Hf", "Hf", "Hf", "Hf", "Hf", "Al", "Zn"],
  "fractional_positions": [[0.0000, 0.7513, 0.2487], [0.0000, 0.2487, 0.7513], [0.0000, 0.7515, 0.7515], [0.0000, 0.2485, 0.2485], [0.5000, 0.5000, 0.0000], [0.5000, 0.0000, 0.5000], [0.5000, 0.0000, 0.0000], [0.5000, 0.5000, 0.5000]]
}

B) {
  "formula": "Hf6AlZn",
  "functional": "GGA-PBE",
  "state": "optimized geometry",
  "volume_a3_per_atom": 21.82,
  "sg": "No. 12",
  "magnetic_moment_mub_per_atom": 0.00,
  "lattice_angstrom": [[-1.0816, -5.0106, -3.3569], [4.2739, 4.0019, -1.8063], [2.1122, -2.1773, 5.3597]],
  "species": ["Hf", "Hf", "Hf", "Hf", "Hf", "Hf", "Al", "Zn"],
  "fractional_positions": [[0.2527, 0.2527, 0.7454], [0.4674, 0.0409, 0.2522], [0.7473, 0.7473, 0.2546], [0.9591, 0.5326, 0.7478], [0.5326, 0.9591, 0.7478], [0.0409, 0.4674, 0.2522], [0.0000, 0.0000, 0.0000], [0.5000, 0.5000, 0.5000]]
}

Short version: B) is the least stable of them.

A) {
  "formula": "Hf2Zr2Al",
  "functional": "GGA-PBE",
  "state": "optimized geometry",
  "volume_a3_per_atom": 22.11,
  "sg": "No. 127",
  "magnetic_moment_mub_per_atom": 0.00,
  "lattice_angstrom": [[-6.0509, 1.6992, 3.8734], [3.4791, -1.8454, 6.2446], [1.3215, 3.8146, 0.3910]],
  "species": ["Hf", "Hf", "Hf", "Hf", "Al", "Al", "Zr", "Zr", "Zr", "Zr"],
  "fractional_positions": [[0.3609, 0.8609, 0.0000], [0.8609, 0.6391, 0.0000], [0.6391, 0.1391, 0.0000], [0.1391, 0.3609, 0.0000], [0.0000, 0.0000, 0.0000], [0.5000, 0.5000, 0.0000], [0.1634, 0.6634, 0.5000], [0.6634, 0.8366, 0.5000], [0.8366, 0.3366, 0.5000], [0.3366, 0.1634, 0.5000]]
}

B) {
  "formula": "Hf2Zr2Al",
  "functional": "GGA-PBE",
  "state": "optimized geometry",
  "volume_a3_per_atom": 23.20,
  "sg": "No. 139",
  "magnetic_moment_mub_per_atom": 0.00,
  "lattice_angstrom": [[-3.3231, -0.5679, -2.1819], [2.1721, -1.8479, -2.8273], [-1.6576, -7.5117, 0.7842]],
  "species": ["Hf", "Hf", "Al", "Zr", "Zr"],
  "fractional_positions": [[0.4105, 0.4105, 0.1791], [0.5895, 0.5895, 0.8209], [0.0000, 0.0000, 0.0000], [0.7500, 0.2500, 0.5000], [0.2500, 0.7500, 0.5000]]
}

Short version: B) is the least stable of them.